Entry 1:
{
  "formula": "ZnCdAg2Au2",
  "functional": "GGA-PBE",
  "state": "optimized geometry",
  "lattice_angstrom": [[-3.4628, -3.2566, 0.1407], [2.0309, -1.9429, 5.0158], [-4.6924, 5.1579, 3.8978]],
  "species": ["Zn", "Cd", "Zn", "Ag", "Cd", "Au", "Au", "Au", "Au", "Ag", "Ag", "Ag"],
  "frac_coords": [[0.5000, 0.2564, 0.6904], [0.0000, 0.5078, 0.5000], [0.5000, 0.7564, 0.3096], [0.0000, 0.2582, 0.1649], [0.0000, 0.0078, 0.5000], [0.5000, 0.2572, 0.3561], [0.5000, 0.7572, 0.6439], [0.0000, 0.7582, 0.1776], [0.0000, 0.2582, 0.8224], [0.5000, 0.0078, 0.0005], [0.0000, 0.7582, 0.8351], [0.5000, 0.5078, 0.9995]],
  "dft_energy_ev_per_atom": -2.504,
  "crystal_system": "orthorhombic",
  "formation_enthalpy_0k_ev_per_atom": -0.0963,
  "n_ef_per_ev_atom": 0.2126,
  "volume_a3_per_cell": 218
}



Entry 2:
{
  "formula": "TbGdCdRh",
  "functional": "GGA-PBE",
  "state": "optimized geometry",
  "lattice_angstrom": [[5.0922, 0.0000, 0.0000], [2.5461, 4.4100, 0.0000], [2.5461, 1.4700, 4.1578]],
  "species": ["Gd", "Cd", "Rh", "Tb"],
  "frac_coords": [[0.5000, 0.5000, 0.5000], [0.2500, 0.2500, 0.2500], [0.7500, 0.7500, 0.7500], [0.0000, 0.0000, 0.0000]],
  "dft_energy_ev_per_atom": -7.251,
  "crystal_system": "cubic",
  "formation_enthalpy_0k_ev_per_atom": -0.5062,
  "n_ef_per_ev_atom": 0.5573,
  "volume_a3_per_cell": 93
}



Entry 3:
{
  "formula": "LiCdF4",
  "functional": "GGA-PBE",
  "state": "optimized geometry",
  "lattice_angstrom": [[5.7631, 0.1695, -1.6030], [-3.2908, 4.7342, -1.6030], [-0.0855, -0.1695, 5.9813]],
  "species": ["Cd", "Li", "Li", "F", "F", "F", "Cd", "F", "F", "F", "F", "F"],
  "frac_coords": [[0.2451, 0.2451, 0.0000], [0.5051, 0.0051, 0.5000], [0.7551, 0.7551, 0.0000], [0.1832, 0.9914, 0.1918], [0.6934, 0.5086, 0.1848], [0.7414, 0.4332, 0.6918], [0.9951, 0.4951, 0.5000], [0.7414, 0.0496, 0.3082], [0.7996, 0.9914, 0.8082], [0.2586, 0.9434, 0.6848], [0.3238, 0.5086, 0.8152], [0.2586, 0.5738, 0.3152]],
  "e_form_raw_mev_per_atom": -2008,
  "dft_energy_ev_per_atom": -3.727,
  "crystal_system": "tetragonal",
  "n_ef_per_ev_atom": 0.1321,
  "volume_a3_per_cell": 163
}



Entry 4:
{
  "formula": "LiCa2Si2",
  "functional": "GGA-PBE",
  "state": "optimized geometry",
  "lattice_angstrom": [[-2.5407, 3.2559, -2.5478], [-2.7085, -3.5702, -1.8615], [-6.4290, 0.3878, 2.2856]],
  "species": ["Li", "Si", "Ca", "Si", "Ca"],
  "frac_coords": [[0.0000, 0.0000, 0.0000], [0.5963, 0.5963, 0.8074], [0.7500, 0.2500, 0.5000], [0.4037, 0.4037, 0.1926], [0.2500, 0.7500, 0.5000]],
  "e_form_raw_mev_per_atom": 2,
  "dft_energy_ev_per_atom": -3.351,
  "crystal_system": "tetragonal",
  "n_ef_per_ev_atom": 1.2748,
  "volume_a3_per_cell": 139
}



Entry 5:
{
  "formula": "BeSb2IrI",
  "functional": "GGA-PBE",
  "state": "optimized geometry",
  "lattice_angstrom": [[-0.9907, 4.7727, 1.5529], [-1.3584, -1.7788, 4.6003], [5.4185, 0.5366, 1.8075]],
  "species": ["I", "Sb", "Be", "Ir", "Sb"],
  "frac_coords": [[0.0000, 0.0000, 0.5000], [0.0000, 0.5000, 0.0000], [0.5000, 0.5000, 0.5000], [0.0000, 0.0000, 0.0000], [0.5000, 0.0000, 0.0000]],
  "e_form_raw_mev_per_atom": 949,
  "dft_energy_ev_per_atom": -3.527,
  "crystal_system": "tetragonal",
  "n_ef_per_ev_atom": 1.2118,
  "volume_a3_per_cell": 150,
  "de_polymorph_mev_per_atom": 0.0
}



Entry 6:
{
  "formula": "Li2InAu4",
  "functional": "GGA-PBE",
  "state": "optimized geometry",
  "lattice_angstrom": [[-3.2589, -2.2899, 3.3008], [2.6946, -4.3983, -0.3909], [3.6626, -1.3938, 6.7025]],
  "species": ["Li", "Au", "Au", "Au", "In", "Li", "Au"],
  "frac_coords": [[0.3877, 0.3877, 0.2246], [0.0000, 0.5000, 0.0000], [0.5000, 0.0000, 0.0000], [0.7996, 0.7996, 0.4009], [0.0000, 0.0000, 0.0000], [0.6123, 0.6123, 0.7754], [0.2004, 0.2004, 0.5991]],
  "dft_energy_ev_per_atom": -2.677,
  "crystal_system": "tetragonal",
  "formation_enthalpy_0k_ev_per_atom": 0.1340,
  "n_ef_per_ev_atom": 0.3045,
  "volume_a3_per_cell": 183,
  "de_polymorph_mev_per_atom": 461.8
}



Entry 7:
{
  "formula": "Pr4Ir",
  "functional": "GGA-PBE",
  "state": "optimized geometry",
  "lattice_angstrom": [[0.0000, 5.6605, 5.6605], [5.6605, 0.0000, 5.6605], [5.6605, 5.6605, 0.0000]],
  "species": ["Pr", "Pr", "Pr", "Pr", "Pr", "Pr", "Pr", "Pr", "Ir", "Ir"],
  "frac_coords": [[0.8623, 0.8623, 0.8623], [0.8623, 0.8623, 0.4131], [0.8623, 0.4131, 0.8623], [0.4131, 0.8623, 0.8623], [0.3877, 0.3877, 0.8369], [0.3877, 0.8369, 0.3877], [0.8369, 0.3877, 0.3877], [0.3877, 0.3877, 0.3877], [0.2500, 0.2500, 0.2500], [0.0000, 0.0000, 0.0000]],
  "dft_energy_ev_per_atom": -5.464,
  "crystal_system": "cubic",
  "formation_enthalpy_0k_ev_per_atom": 0.1316,
  "n_ef_per_ev_atom": 1.4257,
  "volume_a3_per_cell": 363,
  "de_polymorph_mev_per_atom": 432.7
}



Entry 8:
{
  "formula": "Pu2IrPb",
  "functional": "GGA-PBE",
  "state": "optimized geometry",
  "lattice_angstrom": [[3.3408, 0.0000, 0.0000], [0.0000, 3.3408, 0.0000], [0.0000, 0.0000, 8.7040]],
  "species": ["Pu", "Pu", "Pb", "Ir"],
  "frac_coords": [[0.0000, 0.0000, 0.2029], [0.0000, 0.0000, 0.7971], [0.5000, 0.5000, 0.5000], [0.5000, 0.5000, 0.0000]],
  "dft_energy_ev_per_atom": -10.648,
  "crystal_system": "tetragonal",
  "formation_enthalpy_0k_ev_per_atom": -0.3396,
  "n_ef_per_ev_atom": 3.2034,
  "volume_a3_per_cell": 97,
  "de_polymorph_mev_per_atom": 0.0
}